A plane-wave DFT calculation with GGA-PBE was carried out for crystalline CuNiCl3 at its relaxed geometry.

Cell: 4.6138 4.6138 4.6138 Å, 90.00 90.00 90.00°
Space group Pm-3m (No. 221)
Inequivalent atoms, fractional coordinates:
Cu 0.0000 0.0000 0.0000
Ni 0.5000 0.5000 0.5000
Cl 0.0000 0.5000 0.5000

Computed properties:
Energy relative to the lowest polymorph listed for this composition, eV per atom: 0.4254
ΔE_f (raw), eV/atom: -0.0447
Theoretical density, Mg/m³: 3.9

A plane-wave DFT calculation with GGA-PBE was carried out for crystalline Sr3Sn3Pt2 at its relaxed geometry.

Cell: 4.7364 11.5398 16.2022 Å, 90.00 90.00 90.00°
Space group Cmcm (No. 63)
Inequivalent atoms, fractional coordinates:
Sr 0.0000 0.0731 0.1111
Sr 0.0000 0.3612 0.2500
Sn 0.0000 0.3388 0.7500
Sn 0.0000 0.3571 0.0356
Pt 0.0000 0.2124 0.6046

Computed properties:
ΔE_f, eV per atom: -0.80
Theoretical density, Mg/m³: 7.6

A plane-wave DFT calculation with GGA-PBE was carried out for crystalline KLi2In at its relaxed geometry.

Cell: 3.5262 3.9505 8.2376 Å, 90.00 90.00 90.00°
Space group Pmmm (No. 47)
Inequivalent atoms, fractional coordinates:
K 0.0000 0.0000 0.0000
Li 0.5000 0.5000 0.3340
In 0.0000 0.0000 0.5000

Computed properties:
ΔE_f, eV per atom: -0.06
Theoretical density, Mg/m³: 2.4

> Look up the theoretical density of the third one.

2.4 Mg/m³

> The highest theoretical density belongs to which entry?

Sr3Sn3Pt2

> Which value of theoretical density does entry 3 give?

2.4 Mg/m³